# V3ZnO8 (PBE+U, optimized geometry)
# - Uncorrected energy: -7.032 eV/atom
# - Spin magnetization: 0.98 μB/f.u.
data_V3ZnO8
_chemical_formula_sum 'V3 Zn1 O8'
_space_group_name_H-M_alt 'P 1'
_space_group_IT_number 1
_cell_length_a 6.441
_cell_length_b 6.441
_cell_length_c 6.527
_cell_angle_alpha 105.61
_cell_angle_beta 105.61
_cell_angle_gamma 33.71
loop_
_space_group_symop_operation_xyz
'x,y,z'
loop_
_atom_site_label
_atom_site_type_symbol
_atom_site_fract_x
_atom_site_fract_y
_atom_site_fract_z
V1 V 0.000 0.000 0.000
V2 V 0.107 0.107 0.579
V3 V 0.805 0.805 0.567
Zn1 Zn 0.704 0.704 0.993
O1 O 0.043 0.043 0.294
O2 O 0.147 0.147 0.912
O3 O 0.270 0.270 0.597
O4 O 0.521 0.521 0.996
O5 O 0.648 0.648 0.616
O6 O 0.777 0.777 0.304
O7 O 0.854 0.854 0.926
O8 O 0.956 0.956 0.647